Below is a relaxed structure of AcAsPtRh, with properties calculated at the GGA-PBE level.

## Properties
- ΔH_f (0 K): -0.9007 eV/atom
- Crystal system: tetragonal

abc: 4.179 4.179 10.108
angles: 90.00 90.00 90.00
Positions (direct):
Ac: 0.250 0.250 0.208
Ac: 0.750 0.750 0.792
As: 0.250 0.250 0.633
As: 0.750 0.750 0.367
Pt: 0.250 0.250 0.892
Pt: 0.750 0.750 0.108
Rh: 0.250 0.750 0.500
Rh: 0.750 0.250 0.500


Below is a relaxed structure of HfZnCu5, with properties calculated at the GGA-PBE level.

## Properties
- ΔH_f (0 K): -0.0763 eV/atom
- Crystal system: orthorhombic

abc: 7.871 4.840 10.117
angles: 90.00 90.00 90.00
Positions (direct):
Hf: 0.248 0.250 0.070
Hf: 0.252 0.750 0.570
Hf: 0.748 0.250 0.430
Hf: 0.752 0.750 0.930
Zn: 0.141 0.750 0.856
Zn: 0.359 0.250 0.356
Zn: 0.641 0.750 0.644
Zn: 0.859 0.250 0.144
Cu: 0.051 0.750 0.085
Cu: 0.067 0.007 0.307
Cu: 0.067 0.493 0.307
Cu: 0.092 0.250 0.516
Cu: 0.187 0.250 0.747
Cu: 0.313 0.750 0.247
Cu: 0.408 0.750 0.016
Cu: 0.433 0.507 0.807
Cu: 0.433 0.993 0.807
Cu: 0.449 0.250 0.585
Cu: 0.551 0.750 0.415
Cu: 0.567 0.007 0.193
Cu: 0.567 0.493 0.193
Cu: 0.592 0.250 0.984
Cu: 0.687 0.250 0.753
Cu: 0.813 0.750 0.253
Cu: 0.908 0.750 0.484
Cu: 0.933 0.507 0.693
Cu: 0.933 0.993 0.693
Cu: 0.949 0.250 0.915


Below is a relaxed structure of ZnCoTe2, with properties calculated at the GGA-PBE level.

## Properties
- Uncorrected formation energy: 0.321 eV/atom
- Crystal system: tetragonal

abc: 3.168 3.168 8.707
angles: 90.00 90.00 90.00
Positions (direct):
Zn: 0.000 0.000 0.000
Co: 0.000 0.000 0.500
Te: 0.500 0.500 0.312
Te: 0.500 0.500 0.688


Below is a relaxed structure of AcIn7Ag5, with properties calculated at the GGA-PBE level.

## Properties
- ΔH_f (0 K): -0.1618 eV/atom
- Crystal system: orthorhombic

abc: 7.703 7.703 7.703
angles: 134.81 97.61 99.37
Positions (direct):
Ac: 0.000 0.000 0.000
In: 0.194 0.492 0.702
In: 0.225 0.725 0.500
In: 0.352 0.352 0.000
In: 0.354 0.006 0.348
In: 0.652 0.652 0.000
In: 0.658 0.006 0.652
In: 0.790 0.492 0.298
Ag: 0.498 0.498 0.503
Ag: 0.498 0.996 0.000
Ag: 0.777 0.277 0.500
Ag: 0.996 0.498 0.000
Ag: 0.996 0.996 0.497


Below is a relaxed structure of MgCd6Ag5, with properties calculated at the GGA-PBE level.

## Properties
- ΔH_f (0 K): -0.0637 eV/atom
- Relative energy among the computed polymorphs: 0.04 eV per formula unit
- Crystal system: monoclinic

abc: 6.992 6.992 8.127
angles: 90.17 90.17 143.65
Positions (direct):
Mg: 0.000 0.000 0.000
Cd: 0.168 0.832 0.251
Cd: 0.168 0.832 0.749
Cd: 0.500 0.500 0.259
Cd: 0.500 0.500 0.741
Cd: 0.832 0.168 0.251
Cd: 0.832 0.168 0.749
Ag: 0.000 0.000 0.500
Ag: 0.331 0.669 0.500
Ag: 0.338 0.662 0.000
Ag: 0.662 0.338 0.000
Ag: 0.669 0.331 0.500


Below is a relaxed structure of In2Ag2Sn, with properties calculated at the GGA-PBE level.

## Properties
- ΔH_f (0 K): 0.0515 eV/atom
- Relative energy among the computed polymorphs: 0.00 eV per formula unit
- Crystal system: tetragonal

abc: 8.150 8.150 3.507
angles: 90.00 90.00 90.00
Positions (direct):
In: 0.174 0.326 0.000
In: 0.326 0.826 0.000
In: 0.674 0.174 0.000
In: 0.826 0.674 0.000
Ag: 0.125 0.625 0.500
Ag: 0.375 0.125 0.500
Ag: 0.625 0.875 0.500
Ag: 0.875 0.375 0.500
Sn: 0.000 0.000 0.500
Sn: 0.500 0.500 0.500


Below is a relaxed structure of Ba2LiPdCl6, with properties calculated at the GGA-PBE level.

## Properties
- Uncorrected formation energy: -1.821 eV/atom
- Crystal system: triclinic

abc: 6.748 7.100 7.335
angles: 114.81 116.45 91.90
Positions (direct):
Ba: 0.233 0.218 0.434
Ba: 0.767 0.782 0.566
Li: 0.500 0.000 0.000
Pd: 0.000 0.500 0.000
Cl: 0.194 0.810 0.009
Cl: 0.238 0.856 0.569
Cl: 0.363 0.382 0.145
Cl: 0.637 0.618 0.855
Cl: 0.762 0.144 0.431
Cl: 0.806 0.190 0.991


Let's list total moment in order: 0.000, 0.000, 0.002, 0.000, 0.000, 0.000, 0.098 μB per atom.